Computed, not measured: a relaxed K2CaZrIn crystal at the PBE level of DFT.

As for the energy relative to the elements: 1.214 eV per atom. As for the spin magnetization: 3.06 Bohr magnetons per cell. Its density of states at the Fermi level is 1.1300 states/eV/atom.

It has space group P4/mmm (No. 123), with a = 6.337 Å, b = 6.337 Å, c = 5.788 Å, α = 90.00°, β = 90.00° and γ = 90.00°. The distinct sites, in fractional coordinates, are K at (0.000, 0.500, 0.000), Ca at (0.000, 0.000, 0.000), Zr at (0.500, 0.500, 0.500) and In at (0.000, 0.000, 0.500).

Computed, not measured: a relaxed Li2CrOs crystal at the PBE level of DFT.

As for the energy relative to the elements: 0.509 eV per atom. As for the spin magnetization: 0.29 Bohr magnetons per cell. Its density of states at the Fermi level is 1.2491 states/eV/atom. As for the relative energy among the computed polymorphs: 265.2 meV per atom.

It has space group P4/mmm (No. 123), with a = 2.470 Å, b = 2.470 Å, c = 8.984 Å, α = 90.00°, β = 90.00° and γ = 90.00°. The distinct sites, in fractional coordinates, are Li at (0.000, 0.000, 0.243), Cr at (0.500, 0.500, 0.500) and Os at (0.500, 0.500, 0.000).

Computed, not measured: a relaxed HoHf11 crystal at the PBE level of DFT.

As for the energy relative to the elements: 0.077 eV per atom. As for the spin magnetization: 0.00 Bohr magnetons per cell. Its density of states at the Fermi level is 1.0487 states/eV/atom.

It has space group P6/mmm (No. 191), with a = 10.0934 Å, b = 10.0934 Å, c = 3.1367 Å, α = 90.00°, β = 90.00° and γ = 120.00°. The distinct sites, in fractional coordinates, are Ho at (0.0000, 0.0000, 0.0000), Hf at (0.0000, 0.5000, 0.0000), Hf at (0.1772, 0.3544, 0.5000) and Hf at (0.3333, 0.6667, 0.0000).

Computed, not measured: a relaxed Cu4PtAu3 crystal at the PBE level of DFT.

As for the energy relative to the elements: -0.091 eV per atom. As for the spin magnetization: 0.00 Bohr magnetons per cell. Its density of states at the Fermi level is 0.1791 states/eV/atom. As for the relative energy among the computed polymorphs: 0.0 meV per atom.

It has space group I4/mmm (No. 139), with a = 4.021 Å, b = 4.021 Å, c = 14.596 Å, α = 90.00°, β = 90.00° and γ = 90.00°. The distinct sites, in fractional coordinates, are Cu at (0.000, 0.500, 0.122), Pt at (0.000, 0.000, 0.000), Au at (0.000, 0.000, 0.249) and Au at (0.000, 0.000, 0.500).

Computed, not measured: a relaxed Tc5Mo crystal at the PBE level of DFT.

As for the energy relative to the elements: 0.063 eV per atom. As for the spin magnetization: 0.00 Bohr magnetons per cell. Its density of states at the Fermi level is 1.0398 states/eV/atom. As for the relative energy among the computed polymorphs: 3.3 meV per atom.

It has space group R32 (No. 155, hexagonal axes), with a = 4.7941 Å, b = 4.7941 Å, c = 13.3665 Å, α = 90.00°, β = 90.00° and γ = 120.00°. The distinct sites, in fractional coordinates, are Tc at (0.0000, 0.0000, 0.1671), Tc at (0.0000, 0.6694, 0.0000) and Mo at (0.0000, 0.0000, 0.5000).

Computed, not measured: a relaxed Zr2Co2Hg crystal at the PBE level of DFT.

As for the energy relative to the elements: -0.274 eV per atom. As for the spin magnetization: 1.17 Bohr magnetons per cell. Its density of states at the Fermi level is 0.8458 states/eV/atom.

It has space group Cmmm (No. 65), with a = 3.607 Å, b = 13.891 Å, c = 3.490 Å, α = 90.00°, β = 90.00° and γ = 90.00°. The distinct sites, in fractional coordinates, are Zr at (0.000, 0.138, 0.000), Co at (0.000, 0.303, 0.500) and Hg at (0.000, 0.500, 0.500).

| no. | calculated density (g cm⁻³) |
| --- | --- |
| 1 | 2.32 |
| 2 | 7.76 |
| 3 | 12.77 |
| 4 | 14.64 |
| 5 | 10.97 |
| 6 | 9.51 |